(1)
This record from the Alexandria database describes a relaxed KIrSeN2 crystal. The functional is PBE.

a b c (Å): 3.943 3.943 5.495
angles (deg): 90.00 90.00 90.00
Element x y z (fractional)
K1 0.000 0.000 0.000
Ir1 0.500 0.500 0.500
Se1 0.500 0.500 0.000
N1 0.000 0.500 0.500
N2 0.500 0.000 0.500

Results
Total magnetic moment (μB/atom): 0.028
Offset from the most stable computed form (meV per atom): 0
Energy relative to the elements, uncorrected (meV/atom): 662

(2)
This record from the Alexandria database describes a relaxed CdSbRh2 crystal. The functional is PBE.

a b c (Å): 3.638 3.638 5.519
angles (deg): 90.00 90.00 90.00
Element x y z (fractional)
Cd1 0.000 0.000 0.000
Sb1 0.500 0.500 0.654
Rh1 0.000 0.000 0.492
Rh2 0.500 0.500 0.171

Results
Total magnetic moment (μB/atom): 0.000
Energy relative to the elements, uncorrected (meV/atom): -77

(3)
This record from the Alexandria database describes a relaxed CeSm3Y3S8 crystal. The functional is PBE.

a b c (Å): 7.931 7.931 7.931
angles (deg): 59.92 59.92 59.92
Element x y z (fractional)
Ce1 0.000 0.000 0.000
Sm1 0.000 0.000 0.500
Sm2 0.000 0.500 0.000
Sm3 0.500 0.000 0.000
Y1 0.000 0.500 0.500
Y2 0.500 0.000 0.500
Y3 0.500 0.500 0.000
S1 0.253 0.253 0.253
S2 0.254 0.254 0.741
S3 0.254 0.741 0.254
S4 0.259 0.746 0.746
S5 0.741 0.254 0.254
S6 0.746 0.259 0.746
S7 0.746 0.746 0.259
S8 0.747 0.747 0.747

Results
Total magnetic moment (μB/atom): 0.101
Energy relative to the elements, uncorrected (meV/atom): -2026

(4)
This record from the Alexandria database describes a relaxed MnBi2AsN crystal. The functional is PBE.

a b c (Å): 5.259 5.259 3.618
angles (deg): 90.00 90.00 90.00
Element x y z (fractional)
Mn1 0.000 0.000 0.000
Bi1 0.000 0.500 0.500
Bi2 0.500 0.000 0.500
As1 0.500 0.500 0.000
N1 0.000 0.000 0.500

Results
Total magnetic moment (μB/atom): 0.000
Energy relative to the elements, uncorrected (meV/atom): 462

(5)
This record from the Alexandria database describes a relaxed Ba2LaW crystal. The functional is PBE.

a b c (Å): 9.875 9.875 9.875
angles (deg): 159.33 151.55 35.43
Element x y z (fractional)
Ba1 0.158 0.158 0.000
Ba2 0.842 0.842 0.000
La1 0.500 0.000 0.500
W1 0.000 0.500 0.500

Results
Total magnetic moment (μB/atom): 0.000
Offset from the most stable computed form (meV per atom): 41
Energy of formation (eV per atom): 0.78

(6)
This record from the Alexandria database describes a relaxed AuC2 crystal. The functional is PBE.

a b c (Å): 4.950 4.950 8.431
angles (deg): 117.54 117.54 31.29
Element x y z (fractional)
Au1 0.000 0.000 0.000
Au2 0.115 0.115 0.725
C1 0.237 0.237 0.011
C2 0.815 0.815 0.099
C3 0.917 0.917 0.289
C4 0.997 0.997 0.456

Results
Total magnetic moment (μB/atom): 0.000
Offset from the most stable computed form (meV per atom): 730
Energy of formation (eV per atom): 1.00

(7)
This record from the Alexandria database describes a relaxed LaErTmCd crystal. The functional is PBE.

a b c (Å): 5.511 5.511 5.511
angles (deg): 60.00 60.00 60.00
Element x y z (fractional)
La1 0.000 0.000 0.000
Er1 0.500 0.500 0.500
Tm1 0.250 0.250 0.250
Cd1 0.750 0.750 0.750

Results
Total magnetic moment (μB/atom): 0.004
Offset from the most stable computed form (meV per atom): 92
Energy of formation (eV per atom): -0.04

(8)
This record from the Alexandria database describes a relaxed PrGe3IrRu crystal. The functional is PBE.

a b c (Å): 7.311 7.311 6.024
angles (deg): 90.00 90.00 126.34
Element x y z (fractional)
Pr1 0.200 0.800 0.750
Pr2 0.800 0.200 0.250
Ge1 0.215 0.785 0.250
Ge2 0.290 0.290 0.000
Ge3 0.290 0.290 0.500
Ge4 0.710 0.710 0.000
Ge5 0.710 0.710 0.500
Ge6 0.785 0.215 0.750
Ir1 0.392 0.608 0.250
Ir2 0.608 0.392 0.750
Ru1 0.036 0.964 0.250
Ru2 0.964 0.036 0.750

Results
Total magnetic moment (μB/atom): 0.000
Energy of formation (eV per atom): -0.33

(9)
This record from the Alexandria database describes a relaxed PmSm3Rh8 crystal. The functional is PBE.

a b c (Å): 9.339 9.339 9.339
angles (deg): 33.54 33.54 33.54
Element x y z (fractional)
Pm1 0.000 0.000 0.000
Sm1 0.375 0.375 0.375
Sm2 0.500 0.500 0.500
Sm3 0.875 0.875 0.875
Rh1 0.187 0.187 0.187
Rh2 0.437 0.437 0.937
Rh3 0.437 0.937 0.437
Rh4 0.438 0.938 0.938
Rh5 0.687 0.687 0.687
Rh6 0.937 0.437 0.437
Rh7 0.938 0.438 0.938
Rh8 0.938 0.938 0.438

Results
Total magnetic moment (μB/atom): 0.000
Energy of formation (eV per atom): -0.69

(10)
This record from the Alexandria database describes a relaxed SmTmSi2 crystal. The functional is PBE.

a b c (Å): 3.850 5.720 5.720
angles (deg): 44.26 90.00 90.00
Element x y z (fractional)
Sm1 0.000 0.000 0.000
Tm1 0.500 0.280 0.280
Si1 0.000 0.718 0.718
Si2 0.500 0.567 0.567

Results
Total magnetic moment (μB/atom): 0.000
Offset from the most stable computed form (meV per atom): 0
Energy relative to the elements, uncorrected (meV/atom): -791

(11)
This record from the Alexandria database describes a relaxed YRe2Si crystal. The functional is PBE.

a b c (Å): 4.005 4.005 4.224
angles (deg): 90.00 90.00 90.00
Element x y z (fractional)
Y1 0.000 0.000 0.000
Re1 0.000 0.500 0.500
Re2 0.500 0.000 0.500
Si1 0.500 0.500 0.000

Results
Total magnetic moment (μB/atom): 0.000
Energy relative to the elements, uncorrected (meV/atom): 296

(12)
This record from the Alexandria database describes a relaxed AlTcIr3 crystal. The functional is PBE.

a b c (Å): 4.693 4.693 4.693
angles (deg): 90.00 90.00 90.00
Element x y z (fractional)
Al1 0.000 0.000 0.000
Tc1 0.500 0.500 0.500
Ir1 0.000 0.500 0.500
Ir2 0.500 0.000 0.500
Ir3 0.500 0.500 0.000

Results
Total magnetic moment (μB/atom): 0.000
Offset from the most stable computed form (meV per atom): 336
Energy of formation (eV per atom): 1.56

(13)
This record from the Alexandria database describes a relaxed MnTl2Pb2 crystal. The functional is PBE.

a b c (Å): 7.450 7.450 5.331
angles (deg): 90.00 90.00 90.00
Element x y z (fractional)
Mn1 0.000 0.000 0.000
Mn2 0.500 0.500 0.000
Tl1 0.163 0.337 0.500
Tl2 0.337 0.837 0.500
Tl3 0.663 0.163 0.500
Tl4 0.837 0.663 0.500
Pb1 0.152 0.652 0.000
Pb2 0.348 0.152 0.000
Pb3 0.652 0.848 0.000
Pb4 0.848 0.348 0.000

Results
Total magnetic moment (μB/atom): 0.751
Energy of formation (eV per atom): 0.31

(14)
This record from the Alexandria database describes a relaxed POs crystal. The functional is PBE.

a b c (Å): 4.145 4.145 4.145
angles (deg): 138.49 138.49 60.16
Element x y z (fractional)
P1 0.000 0.000 0.000
Os1 0.250 0.750 0.500

Results
Total magnetic moment (μB/atom): 0.000
Energy of formation (eV per atom): 0.01

(15)
This record from the Alexandria database describes a relaxed PaNi2P crystal. The functional is PBE.

a b c (Å): 5.144 5.144 5.144
angles (deg): 44.27 44.27 44.27
Element x y z (fractional)
Pa1 0.000 0.000 0.000
Ni1 0.214 0.214 0.214
Ni2 0.786 0.786 0.786
P1 0.500 0.500 0.500

Results
Total magnetic moment (μB/atom): 0.000
Offset from the most stable computed form (meV per atom): 0
Energy of formation (eV per atom): -0.69

(16)
This record from the Alexandria database describes a relaxed AcAs2Rh crystal. The functional is PBE.

a b c (Å): 4.454 4.454 4.468
angles (deg): 90.00 90.00 90.00
Element x y z (fractional)
Ac1 0.000 0.000 0.000
As1 0.000 0.500 0.500
As2 0.500 0.000 0.500
Rh1 0.500 0.500 0.000

Results
Total magnetic moment (μB/atom): 0.000
Offset from the most stable computed form (meV per atom): 537
Energy of formation (eV per atom): -0.37

(17)
This record from the Alexandria database describes a relaxed CuH2Pt crystal. The functional is PBE.

a b c (Å): 4.796 4.796 2.660
angles (deg): 103.78 103.78 55.78
Element x y z (fractional)
Cu1 0.000 0.000 0.000
H1 0.357 0.357 0.877
H2 0.643 0.643 0.123
Pt1 0.500 0.500 0.500

Results
Total magnetic moment (μB/atom): 0.000
Offset from the most stable computed form (meV per atom): 51

(18)
This record from the Alexandria database describes a relaxed Be2ZnS crystal. The functional is PBE.

a b c (Å): 4.164 4.164 4.164
angles (deg): 60.00 60.00 60.00
Element x y z (fractional)
Be1 0.250 0.250 0.250
Be2 0.750 0.750 0.750
Zn1 0.000 0.000 0.000
S1 0.500 0.500 0.500

Results
Total magnetic moment (μB/atom): 0.000
Offset from the most stable computed form (meV per atom): 662
Energy relative to the elements, uncorrected (meV/atom): 700

(19)
This record from the Alexandria database describes a relaxed KLaCeGeO6 crystal. The functional is PBE.

a b c (Å): 5.821 5.821 5.821
angles (deg): 60.00 60.00 60.00
Element x y z (fractional)
K1 0.000 0.000 0.000
La1 0.500 0.500 0.500
Ce1 0.750 0.750 0.750
Ge1 0.250 0.250 0.250
O1 0.018 0.018 0.482
O2 0.018 0.482 0.018
O3 0.018 0.482 0.482
O4 0.482 0.018 0.018
O5 0.482 0.018 0.482
O6 0.482 0.482 0.018

Results
Total magnetic moment (μB/atom): 0.000
Energy relative to the elements, uncorrected (meV/atom): -2522

(20)
This record from the Alexandria database describes a relaxed TbEuGaAu crystal. The functional is PBE.

a b c (Å): 5.200 5.200 5.200
angles (deg): 60.00 60.00 60.00
Element x y z (fractional)
Tb1 0.000 0.000 0.000
Eu1 0.500 0.500 0.500
Ga1 0.250 0.250 0.250
Au1 0.750 0.750 0.750

Results
Total magnetic moment (μB/atom): 1.699
Energy of formation (eV per atom): -0.62

(21)
This record from the Alexandria database describes a relaxed Bi2Se2Br crystal. The functional is PBE.

a b c (Å): 10.879 10.879 10.879
angles (deg): 23.21 23.21 23.21
Element x y z (fractional)
Bi1 0.099 0.099 0.099
Bi2 0.901 0.901 0.901
Se1 0.276 0.276 0.276
Se2 0.724 0.724 0.724
Br1 0.500 0.500 0.500

Results
Total magnetic moment (μB/atom): 0.000
Offset from the most stable computed form (meV per atom): 0
Energy relative to the elements, uncorrected (meV/atom): -335

(22)
This record from the Alexandria database describes a relaxed Y3Ga6Pt5 crystal. The functional is PBE.

a b c (Å): 4.304 12.748 9.348
angles (deg): 90.00 90.00 90.00
Element x y z (fractional)
Y1 0.250 0.050 0.249
Y2 0.250 0.450 0.249
Y3 0.250 0.750 0.248
Y4 0.750 0.250 0.752
Y5 0.750 0.550 0.751
Y6 0.750 0.950 0.751
Ga1 0.250 0.071 0.904
Ga2 0.250 0.250 0.078
Ga3 0.250 0.250 0.452
Ga4 0.250 0.429 0.904
Ga5 0.250 0.596 0.523
Ga6 0.250 0.904 0.523
Ga7 0.750 0.096 0.477
Ga8 0.750 0.404 0.477
Ga9 0.750 0.571 0.096
Ga10 0.750 0.750 0.548
Ga11 0.750 0.750 0.922
Ga12 0.750 0.929 0.096
Pt1 0.250 0.096 0.629
Pt2 0.250 0.404 0.629
Pt3 0.250 0.632 0.969
Pt4 0.250 0.750 0.709
Pt5 0.250 0.868 0.969
Pt6 0.750 0.132 0.031
Pt7 0.750 0.250 0.291
Pt8 0.750 0.368 0.031
Pt9 0.750 0.596 0.371
Pt10 0.750 0.904 0.371

Results
Total magnetic moment (μB/atom): 0.000
Energy of formation (eV per atom): -0.98

(23)
This record from the Alexandria database describes a relaxed Ho8TlRu2 crystal. The functional is PBE.

a b c (Å): 7.864 7.864 5.431
angles (deg): 97.48 97.48 112.68
Element x y z (fractional)
Ho1 0.065 0.331 0.579
Ho2 0.248 0.752 0.000
Ho3 0.331 0.065 0.579
Ho4 0.385 0.385 0.200
Ho5 0.615 0.615 0.800
Ho6 0.669 0.935 0.421
Ho7 0.752 0.248 0.000
Ho8 0.935 0.669 0.421
Tl1 0.000 0.000 0.000
Ru1 0.313 0.687 0.500
Ru2 0.687 0.313 0.500

Results
Total magnetic moment (μB/atom): 0.000
Offset from the most stable computed form (meV per atom): 0
Energy of formation (eV per atom): -0.24

(24)
This record from the Alexandria database describes a relaxed KAgCl4 crystal. The functional is PBE.

a b c (Å): 5.138 5.138 7.601
angles (deg): 104.70 104.70 84.37
Element x y z (fractional)
K1 0.000 0.000 0.000
Ag1 0.500 0.500 0.500
Cl1 0.176 0.176 0.442
Cl2 0.441 0.441 0.175
Cl3 0.559 0.559 0.825
Cl4 0.824 0.824 0.558

Results
Total magnetic moment (μB/atom): 0.000
Energy relative to the elements, uncorrected (meV/atom): -813

(25)
This record from the Alexandria database describes a relaxed NaTa2IO8 crystal. The functional is PBE.

a b c (Å): 4.932 4.932 6.360
angles (deg): 90.02 90.02 87.50
Element x y z (fractional)
Na1 0.000 0.000 0.000
Ta1 0.499 0.499 0.760
Ta2 0.501 0.501 0.240
I1 0.000 0.000 0.500
O1 0.212 0.786 0.270
O2 0.214 0.788 0.730
O3 0.312 0.312 0.500
O4 0.325 0.325 0.000
O5 0.675 0.675 0.000
O6 0.688 0.688 0.500
O7 0.786 0.212 0.270
O8 0.788 0.214 0.730

Results
Total magnetic moment (μB/atom): 0.000
Energy relative to the elements, uncorrected (meV/atom): -1883